Record 1
First-principles (PBE) data for a geometry-optimized CdBi3Au structure, as listed in Alexandria via LeMat-Bulk.

abc: 5.597 5.597 5.597
angles: 90.00 90.00 90.00
Atoms (fractional coordinates):
Cd  0.000  0.000  0.000
Bi  0.000  0.500  0.500
Bi  0.500  0.000  0.500
Bi  0.500  0.500  0.000
Au  0.500  0.500  0.500

Calculated values
E above lowest polymorph, eV per atom: 0.0000
Symmetry: Pm-3m
Calculated formation energy, eV per atom: 0.498



Record 2
First-principles (PBE) data for a geometry-optimized CdRuSN2 structure, as listed in Alexandria via LeMat-Bulk.

abc: 3.804 3.804 5.296
angles: 90.00 90.00 90.00
Atoms (fractional coordinates):
Cd  0.000  0.000  0.000
Ru  0.500  0.500  0.500
S  0.500  0.500  0.000
N  0.000  0.500  0.500
N  0.500  0.000  0.500

Calculated values
E above lowest polymorph, eV per atom: 0.0000
Symmetry: P4/mmm
Formation energy from raw total energies, eV/atom: 0.58



Record 3
First-principles (PBE) data for a geometry-optimized Zr2ZnBr structure, as listed in Alexandria via LeMat-Bulk.

abc: 3.234 3.234 9.425
angles: 90.00 90.00 90.00
Atoms (fractional coordinates):
Zr  0.000  0.000  0.000
Zr  0.500  0.500  0.246
Zn  0.500  0.500  0.809
Br  0.000  0.000  0.435

Calculated values
E above lowest polymorph, eV per atom: 0.0308
Symmetry: P4mm
Formation energy from raw total energies, eV/atom: -0.27



Record 4
First-principles (PBE) data for a geometry-optimized UAl6Ni3 structure, as listed in Alexandria via LeMat-Bulk.

abc: 7.864 4.140 9.564
angles: 90.00 94.52 90.00
Atoms (fractional coordinates):
U  0.072  0.250  0.242
U  0.928  0.750  0.758
Al  0.100  0.250  0.584
Al  0.172  0.750  0.021
Al  0.303  0.750  0.746
Al  0.349  0.750  0.276
Al  0.406  0.250  0.447
Al  0.432  0.250  0.917
Al  0.568  0.750  0.083
Al  0.594  0.750  0.553
Al  0.651  0.250  0.724
Al  0.697  0.250  0.254
Al  0.828  0.250  0.979
Al  0.900  0.750  0.416
Ni  0.127  0.250  0.866
Ni  0.232  0.750  0.497
Ni  0.402  0.250  0.160
Ni  0.598  0.750  0.840
Ni  0.768  0.250  0.503
Ni  0.873  0.750  0.134

Calculated values
Symmetry: P2_1/m
Calculated formation energy, eV per atom: -0.352



Record 5
First-principles (PBE) data for a geometry-optimized TePd2O6 structure, as listed in Alexandria via LeMat-Bulk.

abc: 4.725 4.725 9.634
angles: 90.00 90.00 90.00
Atoms (fractional coordinates):
Te  0.000  0.000  0.000
Te  0.500  0.500  0.500
Pd  0.000  0.000  0.332
Pd  0.000  0.000  0.668
Pd  0.500  0.500  0.168
Pd  0.500  0.500  0.832
O  0.192  0.192  0.163
O  0.192  0.192  0.837
O  0.196  0.196  0.500
O  0.304  0.696  0.000
O  0.308  0.692  0.337
O  0.308  0.692  0.663
O  0.692  0.308  0.337
O  0.692  0.308  0.663
O  0.696  0.304  0.000
O  0.804  0.804  0.500
O  0.808  0.808  0.163
O  0.808  0.808  0.837

Calculated values
Symmetry: P4_2/mnm
Formation energy from raw total energies, eV/atom: -0.58



Record 6
First-principles (PBE) data for a geometry-optimized K3Ag3Sn8 structure, as listed in Alexandria via LeMat-Bulk.

abc: 9.417 9.417 9.417
angles: 150.66 97.08 90.29
Atoms (fractional coordinates):
K  0.000  0.000  0.000
K  0.272  0.272  0.000
K  0.728  0.728  0.000
Ag  0.372  0.500  0.872
Ag  0.500  0.000  0.500
Ag  0.628  0.500  0.128
Sn  0.036  0.375  0.661
Sn  0.168  0.862  0.306
Sn  0.286  0.625  0.661
Sn  0.444  0.138  0.306
Sn  0.556  0.862  0.694
Sn  0.714  0.375  0.339
Sn  0.832  0.138  0.694
Sn  0.964  0.625  0.339

Calculated values
E above lowest polymorph, eV per atom: 0.0000
Symmetry: Immm
Calculated formation energy, eV per atom: -0.108



Record 7
First-principles (PBE) data for a geometry-optimized SrIn4Ga2 structure, as listed in Alexandria via LeMat-Bulk.

abc: 8.612 8.612 4.757
angles: 90.00 90.00 148.40
Atoms (fractional coordinates):
Sr  0.000  0.000  0.000
In  0.178  0.822  0.500
In  0.318  0.682  0.000
In  0.682  0.318  0.000
In  0.822  0.178  0.500
Ga  0.424  0.576  0.500
Ga  0.576  0.424  0.500

Calculated values
Symmetry: Cmmm
Calculated formation energy, eV per atom: -0.176



Record 8
First-principles (PBE) data for a geometry-optimized PrZr2Zn structure, as listed in Alexandria via LeMat-Bulk.

abc: 11.064 11.064 11.064
angles: 16.71 16.71 16.71
Atoms (fractional coordinates):
Pr  0.000  0.000  0.000
Zr  0.099  0.099  0.099
Zr  0.901  0.901  0.901
Zn  0.500  0.500  0.500

Calculated values
E above lowest polymorph, eV per atom: 0.2552
Symmetry: R-3m
Calculated formation energy, eV per atom: 0.245



Record 9
First-principles (PBE) data for a geometry-optimized Cr2Cu structure, as listed in Alexandria via LeMat-Bulk.

abc: 4.703 4.703 4.703
angles: 60.00 60.00 60.00
Atoms (fractional coordinates):
Cr  0.000  0.000  0.000
Cr  0.000  0.000  0.500
Cr  0.000  0.500  0.000
Cr  0.500  0.000  0.000
Cu  0.375  0.375  0.375
Cu  0.625  0.625  0.625

Calculated values
Symmetry: Fd-3m
Calculated formation energy, eV per atom: 0.439



Record 10
First-principles (PBE) data for a geometry-optimized TmSc2Au6 structure, as listed in Alexandria via LeMat-Bulk.

abc: 8.141 8.141 5.127
angles: 98.88 98.88 143.48
Atoms (fractional coordinates):
Tm  0.000  0.000  0.000
Sc  0.334  0.666  0.500
Sc  0.666  0.334  0.500
Au  0.003  0.667  0.170
Au  0.333  0.997  0.830
Au  0.344  0.344  0.670
Au  0.656  0.656  0.330
Au  0.667  0.003  0.170
Au  0.997  0.333  0.830

Calculated values
Symmetry: C2/m
Calculated formation energy, eV per atom: -0.761



Record 11
First-principles (PBE) data for a geometry-optimized YZnO2 structure, as listed in Alexandria via LeMat-Bulk.

abc: 6.537 6.537 6.537
angles: 29.65 29.65 29.65
Atoms (fractional coordinates):
Y  0.000  0.000  0.000
Zn  0.500  0.500  0.500
O  0.112  0.112  0.112
O  0.888  0.888  0.888

Calculated values
Symmetry: R-3m
Formation energy from raw total energies, eV/atom: -1.34



Record 12
First-principles (PBE) data for a geometry-optimized Ba2ScIn structure, as listed in Alexandria via LeMat-Bulk.

abc: 7.352 7.352 7.352
angles: 148.30 130.92 59.61
Atoms (fractional coordinates):
Ba  0.000  0.000  0.000
Ba  0.701  0.201  0.500
Sc  0.418  0.418  0.000
In  0.246  0.746  0.500

Calculated values
Symmetry: Imm2
Calculated formation energy, eV per atom: -0.057



Ordered total moment results: 0.000; 0.408; 0.000; 2.040; 0.000; 0.000; 0.000; 0.000; 0.000; 0.000; 0.000; 0.001; unit μB per formula unit.
Ordered energy results: -2.67; -5.62; -5.29; -5.46; -5.39; -3.24; -2.85; -5.54; -7.34; -4.85; -5.75; -3.29; unit eV/atom.